Density functional theory data (GGA-PBE) for crystalline DyErTh at its relaxed geometry.

Summary:
**Crystal system**: hexagonal
**Formation energy from the elements**: 0.144 eV per atom
**Total magnetic moment**: 0.0 μB per cell

Structure (CIF):
```
data_DyErTh
_chemical_formula_sum 'Dy2 Er2 Th2'
_space_group_name_H-M_alt 'P 63 m c'
_space_group_IT_number 186
_space_group_name_Hall 'P 6c -2c'
_cell_length_a 3.4691
_cell_length_b 3.4691
_cell_length_c 18.3916
_cell_angle_alpha 90.00
_cell_angle_beta 90.00
_cell_angle_gamma 120.00
loop_
_atom_site_label
_atom_site_type_symbol
_atom_site_fract_x
_atom_site_fract_y
_atom_site_fract_z
Dy1 Dy 0.0000 0.0000 0.0000
Er1 Er 0.3333 0.6667 0.3460
Th1 Th 0.3333 0.6667 0.1637
```